Here is an optimized crystal structure of KYInRe2 from Alexandria. Energies are from GGA-PBE.

a = 5.1203 Å, b = 5.1203 Å, c = 5.5651 Å
α = 90.00°, β = 90.00°, γ = 90.00°
Last column: nearest neighbours and their distance in Å.
Space group P4/mmm (No. 123)
Symmetry-distinct sites (fractional):
K 0.0000 0.0000 0.0000 (multiplicity 1)  4 Y 3.62, 8 Re 3.78
Y 0.5000 0.5000 0.0000 (multiplicity 1)  2 In 2.78
In 0.5000 0.5000 0.5000 (multiplicity 1)  4 Re 2.56, 2 Y 2.78
Re 0.0000 0.5000 0.5000 (multiplicity 2)  2 In 2.56

Results
Energy of formation from the pure elements ... 1966 meV per atom
Density of states at the Fermi level ... 9.04 states/eV/cell

Here is an optimized crystal structure of KIn2Rh2 from Alexandria. Energies are from GGA-PBE.

a = 8.1872 Å, b = 8.1872 Å, c = 3.0308 Å
α = 90.00°, β = 90.00°, γ = 90.00°
Last column: nearest neighbours and their distance in Å.
Space group P4/mbm (No. 127)
Symmetry-distinct sites (fractional):
K 0.0000 0.0000 0.0000 (multiplicity 2)  2 K 3.03, 4 In 3.15
In 0.1419 0.3581 0.0000 (multiplicity 4)  6 Rh 2.82-2.86, 2 In 3.03, 2 K 3.15
Rh 0.1490 0.6490 0.5000 (multiplicity 4)  6 In 2.82-2.86, 2 Rh 3.03

Results
Energy of formation from the pure elements ... -145 meV per atom
ΔE to the lowest computed polymorph ... 0.047 eV per atom
Density of states at the Fermi level ... 7.95 states/eV/cell

Here is an optimized crystal structure of KInRh4 from Alexandria. Energies are from GGA-PBE.

a = 7.5504 Å, b = 7.5504 Å, c = 7.5504 Å
α = 90.00°, β = 90.00°, γ = 90.00°
Last column: nearest neighbours and their distance in Å.
Space group F-43m (No. 216)
Symmetry-distinct sites (fractional):
K 0.0000 0.0000 0.0000 (multiplicity 4)  12 Rh 3.13, 4 In 3.27
In 0.2500 0.2500 0.2500 (multiplicity 4)  12 Rh 3.13, 4 K 3.27
Rh 0.1243 0.1243 0.6243 (multiplicity 16)  6 Rh 2.66-2.68

Results
Energy of formation from the pure elements ... 257 meV per atom
Density of states at the Fermi level ... 37.59 states/eV/cell

Here is an optimized crystal structure of KInRh2 from Alexandria. Energies are from GGA-PBE.

a = 10.2072 Å, b = 2.9677 Å, c = 6.3436 Å
α = 90.00°, β = 104.09°, γ = 90.00°
Last column: nearest neighbours and their distance in Å.
Space group Cm (No. 8)
Symmetry-distinct sites (fractional):
K 0.0000 0.0000 0.0000 (multiplicity 2)  2 K 2.97, 3 Rh 3.06-3.31
In 0.1973 0.0000 0.5623 (multiplicity 2)  5 Rh 2.71-2.85, 2 In 2.97
Rh 0.2899 0.5000 0.2717 (multiplicity 2)  2 Rh 2.59, 2 In 2.71
Rh 0.4697 0.0000 0.5245 (multiplicity 2)  2 Rh 2.59, 3 In 2.72-2.85

Results
Energy of formation from the pure elements ... 253 meV per atom
Density of states at the Fermi level ... 8.09 states/eV/cell

Here is an optimized crystal structure of KInRh2 from Alexandria. Energies are from GGA-PBE.

a = 4.8189 Å, b = 4.8189 Å, c = 18.6950 Å
α = 90.00°, β = 90.00°, γ = 90.00°
Last column: nearest neighbours and their distance in Å.
Space group I-42d (No. 122)
Symmetry-distinct sites (fractional):
K 0.0000 0.0000 0.0000 (multiplicity 4)  4 Rh 3.32, 4 In 3.41
In 0.0000 0.0000 0.5000 (multiplicity 4)  4 Rh 2.66
Rh 0.0801 0.2500 0.6250 (multiplicity 8)  2 Rh 2.53, 2 In 2.66

Results
Energy of formation from the pure elements ... 442 meV per atom
Density of states at the Fermi level ... 12.15 states/eV/cell

Here is an optimized crystal structure of KInRh2 from Alexandria. Energies are from GGA-PBE.

a = 3.0579 Å, b = 3.0579 Å, c = 30.2659 Å
α = 90.00°, β = 90.00°, γ = 120.00°
Last column: nearest neighbours and their distance in Å.
Space group R3m (No. 160, hexagonal axes)
Symmetry-distinct sites (fractional):
K 0.0000 0.0000 0.0000 (multiplicity 3)  6 K 3.06, 3 Rh 3.26
In 0.0000 0.0000 0.7720 (multiplicity 3)  3 Rh 2.82, 6 In 3.06
Rh 0.0000 0.0000 0.2429 (multiplicity 3)  3 Rh 2.64
Rh 0.0000 0.0000 0.5113 (multiplicity 3)  3 Rh 2.64, 3 In 2.82

Results
Energy of formation from the pure elements ... 432 meV per atom
Density of states at the Fermi level ... 13.50 states/eV/cell

Here is an optimized crystal structure of KIn2Rh2 from Alexandria. Energies are from GGA-PBE.

a = 4.5053 Å, b = 4.5053 Å, c = 11.7068 Å
α = 90.00°, β = 90.00°, γ = 90.00°
Last column: nearest neighbours and their distance in Å.
Space group I4/mmm (No. 139)
Symmetry-distinct sites (fractional):
K 0.0000 0.0000 0.0000 (multiplicity 2)  8 In 3.53, 8 Rh 3.69
In 0.0000 0.0000 0.3698 (multiplicity 4)  4 Rh 2.65
Rh 0.0000 0.5000 0.2500 (multiplicity 4)  4 In 2.65

Results
Energy of formation from the pure elements ... -68 meV per atom
ΔE to the lowest computed polymorph ... 0.124 eV per atom
Density of states at the Fermi level ... 5.41 states/eV/cell

Here is an optimized crystal structure of KInRh3 from Alexandria. Energies are from GGA-PBE.

a = 4.7648 Å, b = 4.7648 Å, c = 4.7648 Å
α = 90.00°, β = 90.00°, γ = 90.00°
Last column: nearest neighbours and their distance in Å.
Space group Pm-3m (No. 221)
Symmetry-distinct sites (fractional):
K 0.0000 0.0000 0.0000 (multiplicity 1)  6 Rh 2.38
In 0.5000 0.5000 0.5000 (multiplicity 1)  12 Rh 3.37
Rh 0.0000 0.0000 0.5000 (multiplicity 3)  2 K 2.38

Results
Energy of formation from the pure elements ... 1865 meV per atom
ΔE to the lowest computed polymorph ... 0.859 eV per atom
Density of states at the Fermi level ... 6.48 states/eV/cell

Here is an optimized crystal structure of KInRh2 from Alexandria. Energies are from GGA-PBE.

a = 2.9264 Å, b = 4.4560 Å, c = 6.9832 Å
α = 90.00°, β = 100.44°, γ = 90.00°
Last column: nearest neighbours and their distance in Å.
Space group P2/m (No. 10)
Symmetry-distinct sites (fractional):
K 0.0000 0.0000 0.0000 (multiplicity 1)  2 K 2.93
In 0.5000 0.0000 0.5000 (multiplicity 1)  4 Rh 2.66, 2 In 2.93
Rh 0.2791 0.5000 0.6694 (multiplicity 2)  4 Rh 2.62-2.93, 2 In 2.66

Results
Energy of formation from the pure elements ... 286 meV per atom
Density of states at the Fermi level ... 2.76 states/eV/cell

Here is an optimized crystal structure of KInRh2 from Alexandria. Energies are from GGA-PBE.

a = 4.2193 Å, b = 4.2193 Å, c = 8.7021 Å
α = 90.00°, β = 90.00°, γ = 90.00°
Last column: nearest neighbours and their distance in Å.
Space group I-4m2 (No. 119)
Symmetry-distinct sites (fractional):
K 0.0000 0.0000 0.0000 (multiplicity 2)  8 Rh 2.98-3.03, 4 In 3.03
In 0.0000 0.5000 0.2500 (multiplicity 2)  8 Rh 2.98-3.03, 4 K 3.03
Rh 0.0000 0.0000 0.5000 (multiplicity 2)  4 K 2.98, 4 In 3.03, 4 Rh 3.03
Rh 0.0000 0.5000 0.7500 (multiplicity 2)  4 In 2.98, 4 K 3.03, 4 Rh 3.03

Results
Energy of formation from the pure elements ... 533 meV per atom
Density of states at the Fermi level ... 9.12 states/eV/cell

Here is an optimized crystal structure of KInRh2 from Alexandria. Energies are from GGA-PBE.

a = 3.3021 Å, b = 3.3021 Å, c = 7.6751 Å
α = 90.00°, β = 90.00°, γ = 90.00°
Last column: nearest neighbours and their distance in Å.
Space group P4/mmm (No. 123)
Symmetry-distinct sites (fractional):
K 0.0000 0.0000 0.0000 (multiplicity 1)  4 K 3.30, 8 Rh 3.35
In 0.0000 0.0000 0.5000 (multiplicity 1)  8 Rh 2.74
Rh 0.5000 0.5000 0.3122 (multiplicity 2)  4 In 2.74, 1 Rh 2.88

Results
Energy of formation from the pure elements ... 200 meV per atom
Density of states at the Fermi level ... 5.09 states/eV/cell

Here is an optimized crystal structure of KInRh3 from Alexandria. Energies are from GGA-PBE.

a = 5.0305 Å, b = 5.0305 Å, c = 5.0305 Å
α = 90.00°, β = 90.00°, γ = 90.00°
Last column: nearest neighbours and their distance in Å.
Space group Pm-3m (No. 221)
Symmetry-distinct sites (fractional):
K 0.0000 0.0000 0.0000 (multiplicity 1)  12 Rh 3.56
In 0.5000 0.5000 0.5000 (multiplicity 1)  6 Rh 2.52
Rh 0.0000 0.5000 0.5000 (multiplicity 3)  2 In 2.52

Results
Energy of formation from the pure elements ... 1006 meV per atom
ΔE to the lowest computed polymorph ... 0.000 eV per atom
Density of states at the Fermi level ... 6.32 states/eV/cell

Ordered magnetic moment results: 2.72, 0.00, 0.77, 0.00, 0.52, 0.64, 0.00, 2.15, 0.00, 0.00, 0.01, 1.57; unit μB/f.u..
Ordered density results: 7.00, 7.76, 8.73, 6.41, 5.50, 7.31, 6.63, 7.10, 6.67, 7.71, 7.14, 6.03; unit g/cm3.